--- A ---
A plane-wave DFT calculation with GGA-PBE was carried out for a geometry-optimized CaTe2Pb2 structure.

Values from the calculation:
DOS at the Fermi energy = 4.52 states/eV/cell

```
data_CaTe2Pb2
_chemical_formula_sum 'Ca2 Te4 Pb4'
_cell_length_a 4.3832
_cell_length_b 4.3832
_cell_length_c 17.7010
_cell_angle_alpha 90.00
_cell_angle_beta 90.00
_cell_angle_gamma 90.00
_symmetry_space_group_name_H-M 'I 4/m m m'
_symmetry_Int_Tables_number 139
_symmetry_space_group_name_Hall '-I 4 2'
loop_
_atom_site_label
_atom_site_type_symbol
_atom_site_fract_x
_atom_site_fract_y
_atom_site_fract_z
Ca1 Ca 0.0000 0.0000 0.0000
Te1 Te 0.0000 0.0000 0.4076
Pb1 Pb 0.0000 0.5000 0.2500
```

=====

--- B ---
A plane-wave DFT calculation with GGA-PBE was carried out for a geometry-optimized CaTe2Pb2 structure.

Values from the calculation:
DOS at the Fermi energy = 0.18 states/eV/cell

```
data_CaTe2Pb2
_chemical_formula_sum 'Ca2 Te4 Pb4'
_cell_length_a 6.2204
_cell_length_b 6.2204
_cell_length_c 9.3769
_cell_angle_alpha 90.00
_cell_angle_beta 90.00
_cell_angle_gamma 90.00
_symmetry_space_group_name_H-M 'I 4/m m m'
_symmetry_Int_Tables_number 139
_symmetry_space_group_name_Hall '-I 4 2'
loop_
_atom_site_label
_atom_site_type_symbol
_atom_site_fract_x
_atom_site_fract_y
_atom_site_fract_z
Ca1 Ca 0.0000 0.0000 0.0000
Te1 Te 0.0000 0.5000 0.2500
Pb1 Pb 0.0000 0.0000 0.3370
```

=====

The computed energies, referenced to the most stable structure and given in kJ/mol of atoms, are A 0.0; B 4.1.

=====

--- A ---
A plane-wave DFT calculation with GGA-PBE was carried out for a geometry-optimized CaTePb3 structure.

Values from the calculation:
DOS at the Fermi energy = 7.22 states/eV/cell

```
data_CaTePb3
_chemical_formula_sum 'Ca1 Te1 Pb3'
_cell_length_a 5.9156
_cell_length_b 5.9156
_cell_length_c 5.9156
_cell_angle_alpha 90.00
_cell_angle_beta 90.00
_cell_angle_gamma 90.00
_symmetry_space_group_name_H-M 'P m -3 m'
_symmetry_Int_Tables_number 221
_symmetry_space_group_name_Hall '-P 4 2 3'
loop_
_atom_site_label
_atom_site_type_symbol
_atom_site_fract_x
_atom_site_fract_y
_atom_site_fract_z
Ca1 Ca 0.0000 0.0000 0.0000
Te1 Te 0.5000 0.5000 0.5000
Pb1 Pb 0.0000 0.0000 0.5000
```

=====

--- B ---
A plane-wave DFT calculation with GGA-PBE was carried out for a geometry-optimized CaTePb3 structure.

Values from the calculation:
DOS at the Fermi energy = 2.70 states/eV/cell

```
data_CaTePb3
_chemical_formula_sum 'Ca1 Te1 Pb3'
_cell_length_a 5.9899
_cell_length_b 5.9899
_cell_length_c 5.9899
_cell_angle_alpha 90.00
_cell_angle_beta 90.00
_cell_angle_gamma 90.00
_symmetry_space_group_name_H-M 'P m -3 m'
_symmetry_Int_Tables_number 221
_symmetry_space_group_name_Hall '-P 4 2 3'
loop_
_atom_site_label
_atom_site_type_symbol
_atom_site_fract_x
_atom_site_fract_y
_atom_site_fract_z
Ca1 Ca 0.0000 0.0000 0.0000
Te1 Te 0.5000 0.5000 0.5000
Pb1 Pb 0.0000 0.5000 0.5000
```

=====

The computed energies, referenced to the most stable structure and given in kJ/mol of atoms, are A 31.9; B 0.0.

=====

--- A ---
A plane-wave DFT calculation with GGA-PBE was carried out for a geometry-optimized Ca3Te4Pb structure.

Values from the calculation:
DOS at the Fermi energy = 0.00 states/eV/cell

```
data_Ca3Te4Pb
_chemical_formula_sum 'Ca6 Te8 Pb2'
_cell_length_a 10.8760
_cell_length_b 9.4550
_cell_length_c 6.3984
_cell_angle_alpha 90.00
_cell_angle_beta 90.00
_cell_angle_gamma 90.00
_symmetry_space_group_name_H-M 'P m n 21'
_symmetry_Int_Tables_number 31
loop_
_symmetry_equiv_pos_as_xyz
'x,y,z'
'-x+1/2,-y,z+1/2'
'-x,y,z'
'x+1/2,-y,z+1/2'
loop_
_atom_site_label
_atom_site_type_symbol
_atom_site_fract_x
_atom_site_fract_y
_atom_site_fract_z
Ca1 Ca 0.0000 0.1649 0.0002
Ca2 Ca 0.2503 0.3330 0.5000
Te1 Te 0.0000 0.1710 0.5001
Te2 Te 0.0000 0.8333 0.9995
Te3 Te 0.2449 0.3367 0.0000
Pb1 Pb 0.0000 0.8322 0.4993
```

=====

--- B ---
A plane-wave DFT calculation with GGA-PBE was carried out for a geometry-optimized Ca3Te4Pb structure.

Values from the calculation:
DOS at the Fermi energy = 0.00 states/eV/cell

```
data_Ca3Te4Pb
_chemical_formula_sum 'Ca6 Te8 Pb2'
_cell_length_a 9.1300
_cell_length_b 12.9056
_cell_length_c 4.5504
_cell_angle_alpha 90.00
_cell_angle_beta 90.00
_cell_angle_gamma 90.00
_symmetry_space_group_name_H-M 'C m m m'
_symmetry_Int_Tables_number 65
_symmetry_space_group_name_Hall '-C 2 2'
loop_
_atom_site_label
_atom_site_type_symbol
_atom_site_fract_x
_atom_site_fract_y
_atom_site_fract_z
Ca1 Ca 0.0000 0.0000 0.0000
Ca2 Ca 0.2500 0.2500 0.5000
Te1 Te 0.0000 0.2473 0.0000
Te2 Te 0.2438 0.0000 0.5000
Pb1 Pb 0.0000 0.5000 0.0000
```

=====

The computed energies, referenced to the most stable structure and given in kJ/mol of atoms, are A 9.9; B 0.0.

=====

--- A ---
A plane-wave DFT calculation with GGA-PBE was carried out for a geometry-optimized CaTi2Pb2 structure.

Values from the calculation:
DOS at the Fermi energy = 3.44 states/eV/cell

```
data_CaTi2Pb2
_chemical_formula_sum 'Ca2 Ti4 Pb4'
_cell_length_a 8.5252
_cell_length_b 8.5252
_cell_length_c 3.2574
_cell_angle_alpha 90.00
_cell_angle_beta 90.00
_cell_angle_gamma 90.00
_symmetry_space_group_name_H-M 'P 4/m b m'
_symmetry_Int_Tables_number 127
_symmetry_space_group_name_Hall '-P 4 2ab'
loop_
_atom_site_label
_atom_site_type_symbol
_atom_site_fract_x
_atom_site_fract_y
_atom_site_fract_z
Ca1 Ca 0.0000 0.0000 0.0000
Ti1 Ti 0.1117 0.3883 0.0000
Pb1 Pb 0.1803 0.6803 0.5000
```

=====

--- B ---
A plane-wave DFT calculation with GGA-PBE was carried out for a geometry-optimized CaTi2Pb2 structure.

Values from the calculation:
DOS at the Fermi energy = 7.56 states/eV/cell

```
data_CaTi2Pb2
_chemical_formula_sum 'Ca2 Ti4 Pb4'
_cell_length_a 4.3105
_cell_length_b 4.3105
_cell_length_c 13.6670
_cell_angle_alpha 90.00
_cell_angle_beta 90.00
_cell_angle_gamma 90.00
_symmetry_space_group_name_H-M 'I 4/m m m'
_symmetry_Int_Tables_number 139
_symmetry_space_group_name_Hall '-I 4 2'
loop_
_atom_site_label
_atom_site_type_symbol
_atom_site_fract_x
_atom_site_fract_y
_atom_site_fract_z
Ca1 Ca 0.0000 0.0000 0.0000
Ti1 Ti 0.0000 0.5000 0.2500
Pb1 Pb 0.0000 0.0000 0.3891
```

=====

The computed energies, referenced to the most stable structure and given in kJ/mol of atoms, are A 3.4; B 0.0.

=====

--- A ---
A plane-wave DFT calculation with GGA-PBE was carried out for a geometry-optimized CaTl8Pb2 structure.

Values from the calculation:
DOS at the Fermi energy = 9.35 states/eV/cell

```
data_CaTl8Pb2
_chemical_formula_sum 'Ca2 Tl16 Pb4'
_cell_length_a 18.2877
_cell_length_b 4.6241
_cell_length_c 8.1616
_cell_angle_alpha 90.00
_cell_angle_beta 105.53
_cell_angle_gamma 90.00
_symmetry_space_group_name_H-M 'C 1 2/m 1'
_symmetry_Int_Tables_number 12
loop_
_symmetry_equiv_pos_as_xyz
'x,y,z'
'-x,-y,-z'
'-x,y,-z'
'x,-y,z'
'x+1/2,y+1/2,z'
'-x+1/2,-y+1/2,-z'
'-x+1/2,y+1/2,-z'
'x+1/2,-y+1/2,z'
loop_
_atom_site_label
_atom_site_type_symbol
_atom_site_fract_x
_atom_site_fract_y
_atom_site_fract_z
Ca1 Ca 0.0000 0.0000 0.0000
Tl1 Tl 0.0474 0.5000 0.7213
Tl2 Tl 0.0900 0.0000 0.4494
Tl3 Tl 0.1380 0.5000 0.1812
Tl4 Tl 0.1808 0.0000 0.9073
Pb1 Pb 0.2269 0.5000 0.6336
```

=====

--- B ---
A plane-wave DFT calculation with GGA-PBE was carried out for a geometry-optimized CaTl8Pb2 structure.

Values from the calculation:
DOS at the Fermi energy = 9.84 states/eV/cell

```
data_CaTl8Pb2
_chemical_formula_sum 'Ca2 Tl16 Pb4'
_cell_length_a 12.9452
_cell_length_b 10.6206
_cell_length_c 5.7090
_cell_angle_alpha 90.00
_cell_angle_beta 103.07
_cell_angle_gamma 90.00
_symmetry_space_group_name_H-M 'C 1 2/m 1'
_symmetry_Int_Tables_number 12
loop_
_symmetry_equiv_pos_as_xyz
'x,y,z'
'-x,-y,-z'
'-x,y,-z'
'x,-y,z'
'x+1/2,y+1/2,z'
'-x+1/2,-y+1/2,-z'
'-x+1/2,y+1/2,-z'
'x+1/2,-y+1/2,z'
loop_
_atom_site_label
_atom_site_type_symbol
_atom_site_fract_x
_atom_site_fract_y
_atom_site_fract_z
Ca1 Ca 0.0000 0.0000 0.0000
Tl1 Tl 0.0773 0.2672 0.7932
Tl2 Tl 0.0944 0.5000 0.3100
Tl3 Tl 0.2350 0.5000 0.8812
Pb1 Pb 0.1332 0.0000 0.5553
```

=====

The computed energies, referenced to the most stable structure and given in kJ/mol of atoms, are A 0.0; B 11.0.

=====

--- A ---
A plane-wave DFT calculation with GGA-PBE was carried out for a geometry-optimized Ca2Tl4Pb structure.

Values from the calculation:
DOS at the Fermi energy = 8.24 states/eV/cell

```
data_Ca2Tl4Pb
_chemical_formula_sum 'Ca4 Tl8 Pb2'
_cell_length_a 8.3834
_cell_length_b 6.2378
_cell_length_c 9.2225
_cell_angle_alpha 90.00
_cell_angle_beta 116.94
_cell_angle_gamma 90.00
_symmetry_space_group_name_H-M 'P 1 21/m 1'
_symmetry_Int_Tables_number 11
loop_
_symmetry_equiv_pos_as_xyz
'x,y,z'
'-x,-y,-z'
'-x,y+1/2,-z'
'x,-y+1/2,z'
loop_
_atom_site_label
_atom_site_type_symbol
_atom_site_fract_x
_atom_site_fract_y
_atom_site_fract_z
Ca1 Ca 0.1528 0.2500 0.0665
Ca2 Ca 0.3114 0.2500 0.5116
Tl1 Tl 0.0907 0.5018 0.7088
Tl2 Tl 0.4214 0.7500 0.6682
Tl3 Tl 0.4833 0.7500 0.0550
Pb1 Pb 0.2499 0.7500 0.2556
```

=====

--- B ---
A plane-wave DFT calculation with GGA-PBE was carried out for a geometry-optimized Ca2Tl4Pb structure.

Values from the calculation:
DOS at the Fermi energy = 10.02 states/eV/cell

```
data_Ca2Tl4Pb
_chemical_formula_sum 'Ca4 Tl8 Pb2'
_cell_length_a 5.8663
_cell_length_b 5.8663
_cell_length_c 16.1238
_cell_angle_alpha 90.00
_cell_angle_beta 90.00
_cell_angle_gamma 90.00
_symmetry_space_group_name_H-M 'I 4/m m m'
_symmetry_Int_Tables_number 139
_symmetry_space_group_name_Hall '-I 4 2'
loop_
_atom_site_label
_atom_site_type_symbol
_atom_site_fract_x
_atom_site_fract_y
_atom_site_fract_z
Ca1 Ca 0.0000 0.0000 0.1136
Tl1 Tl 0.0000 0.0000 0.3108
Tl2 Tl 0.0000 0.5000 0.0000
Pb1 Pb 0.0000 0.0000 0.5000
```

=====

The computed energies, referenced to the most stable structure and given in kJ/mol of atoms, are A 0.0; B 32.2.